[1]
DFT (GGA-PBEsol) results for a relaxed ReSbTe2 crystal.

The density of states at the Fermi level comes out at 4.42 states/eV/f.u. The total moment is 0.00 μB/atom. For the total energy, the calculation gives -65.2 eV per cell. For the formation energy without anion corrections, the calculation gives 0.80 eV per atom.

The structure belongs to space group R-3m (No. 166, hexagonal axes); the cell edges are 3.0523, 3.0523 and 35.9447 Å and the angles 90.00°, 90.00° and 120.00°. Symmetry generates all atoms from Re at (0.0000, 0.0000, 0.0000), Sb at (0.0000, 0.0000, 0.5000) and Te at (0.0000, 0.0000, 0.0729).


[2]
DFT (GGA-PBEsol) results for a relaxed ReSbTe2 crystal.

The density of states at the Fermi level comes out at 2.25 states/eV/f.u. The total moment is 0.00 μB/atom. For the total energy, the calculation gives -46.7 eV per cell. For the formation energy without anion corrections, the calculation gives 0.40 eV per atom.

The structure belongs to space group Imm2 (No. 44); the cell edges are 3.245, 4.783 and 12.413 Å and the angles 90.00°, 90.00° and 90.00°. Symmetry generates all atoms from Re at (0.000, 0.000, 0.000), Sb at (0.000, 0.500, 0.684), Te at (0.000, 0.000, 0.526) and Te at (0.000, 0.500, 0.327).


[3]
DFT (GGA-PBEsol) results for a relaxed ReSbTe2 crystal.

The density of states at the Fermi level comes out at 1.62 states/eV/f.u. The total moment is 0.00 μB/atom. For the total energy, the calculation gives -47.9 eV per cell. For the formation energy without anion corrections, the calculation gives 0.24 eV per atom.

The structure belongs to space group Cmmm (No. 65); the cell edges are 5.146, 9.758 and 4.105 Å and the angles 90.00°, 90.00° and 90.00°. Symmetry generates all atoms from Re at (0.000, 0.000, 0.000), Sb at (0.000, 0.500, 0.000) and Te at (0.000, 0.177, 0.500).


[4]
DFT (GGA-PBEsol) results for a relaxed ReSbTe2 crystal.

The density of states at the Fermi level comes out at 3.84 states/eV/f.u. The total moment is 0.00 μB/atom. For the total energy, the calculation gives -85.7 eV per cell. For the formation energy without anion corrections, the calculation gives 0.88 eV per atom.

The structure belongs to space group F-43m (No. 216); the cell edges are 6.993, 6.993 and 6.993 Å and the angles 90.00°, 90.00° and 90.00°. Symmetry generates all atoms from Re at (0.000, 0.000, 0.000), Sb at (0.250, 0.250, 0.750), Te at (0.000, 0.000, 0.500) and Te at (0.250, 0.250, 0.250).


[5]
DFT (GGA-PBEsol) results for a relaxed TlReSbTe2 crystal.

The calculation puts the energy above the lowest structure with this stoichiometry at 0 meV/atom. The density of states at the Fermi level comes out at 5.44 states/eV/f.u. The total moment is 0.00 μB/atom. For the total energy, the calculation gives -24.8 eV per cell. For the formation energy without anion corrections, the calculation gives 0.55 eV per atom.

The structure belongs to space group P4/mmm (No. 123); the cell edges are 5.325, 5.325 and 5.099 Å and the angles 90.00°, 90.00° and 90.00°. Symmetry generates all atoms from Tl at (0.000, 0.000, 0.000), Re at (0.500, 0.500, 0.500), Sb at (0.500, 0.500, 0.000) and Te at (0.000, 0.500, 0.500).


[6]
DFT (GGA-PBEsol) results for a relaxed Re2SbTeW crystal.

The density of states at the Fermi level comes out at 7.17 states/eV/f.u. The total moment is 0.01 μB/atom. For the total energy, the calculation gives -36.1 eV per cell. For the formation energy without anion corrections, the calculation gives 2.49 eV per atom.

The structure belongs to space group P4/mmm (No. 123); the cell edges are 4.805, 4.805 and 4.897 Å and the angles 90.00°, 90.00° and 90.00°. Symmetry generates all atoms from Re at (0.000, 0.500, 0.000), Sb at (0.000, 0.000, 0.500), Te at (0.500, 0.500, 0.000) and W at (0.500, 0.500, 0.500).


[7]
DFT (GGA-PBEsol) results for a relaxed ZrReSb2Te crystal.

The density of states at the Fermi level comes out at 3.66 states/eV/f.u. The total moment is 0.90 μB/atom. For the total energy, the calculation gives -27.9 eV per cell. For the formation energy without anion corrections, the calculation gives 1.42 eV per atom.

The structure belongs to space group P4/mmm (No. 123); the cell edges are 5.451, 5.451 and 5.379 Å and the angles 90.00°, 90.00° and 90.00°. Symmetry generates all atoms from Zr at (0.000, 0.000, 0.000), Re at (0.500, 0.500, 0.500), Sb at (0.000, 0.500, 0.000) and Te at (0.000, 0.000, 0.500).


[8]
DFT (GGA-PBEsol) results for a relaxed Tl2ReSb crystal.

The calculation puts the energy above the lowest structure with this stoichiometry at 0 meV/atom. The density of states at the Fermi level comes out at 3.97 states/eV/f.u. The total moment is 0.36 μB/atom. For the total energy, the calculation gives -76.7 eV per cell. For the formation energy without anion corrections, the calculation gives 0.99 eV per atom.

The structure belongs to space group F-43m (No. 216); the cell edges are 7.056, 7.056 and 7.056 Å and the angles 90.00°, 90.00° and 90.00°. Symmetry generates all atoms from Tl at (0.000, 0.000, 0.000), Tl at (0.250, 0.250, 0.250), Re at (0.000, 0.000, 0.500) and Sb at (0.250, 0.250, 0.750).


[9]
DFT (GGA-PBEsol) results for a relaxed Tl2ReSb crystal.

The calculation puts the energy above the lowest structure with this stoichiometry at 162 meV/atom. The density of states at the Fermi level comes out at 3.88 states/eV/f.u. The total moment is 0.00 μB/atom. For the total energy, the calculation gives -74.1 eV per cell. For the formation energy without anion corrections, the calculation gives 1.16 eV per atom.

The structure belongs to space group Fm-3m (No. 225); the cell edges are 7.048, 7.048 and 7.048 Å and the angles 90.00°, 90.00° and 90.00°. Symmetry generates all atoms from Tl at (0.250, 0.250, 0.250), Re at (0.000, 0.000, 0.000) and Sb at (0.000, 0.000, 0.500).


[10]
DFT (GGA-PBEsol) results for a relaxed Tl2ReSb crystal.

The calculation puts the energy above the lowest structure with this stoichiometry at 60 meV/atom. The density of states at the Fermi level comes out at 3.72 states/eV/f.u. The total moment is 0.41 μB/atom. For the total energy, the calculation gives -18.9 eV per cell. For the formation energy without anion corrections, the calculation gives 1.05 eV per atom.

The structure belongs to space group P4/mmm (No. 123); the cell edges are 4.077, 4.077 and 5.485 Å and the angles 90.00°, 90.00° and 90.00°. Symmetry generates all atoms from Tl at (0.000, 0.500, 0.000), Re at (0.000, 0.000, 0.500) and Sb at (0.500, 0.500, 0.500).


[11]
DFT (GGA-PBEsol) results for a relaxed ReSb2W crystal.

The calculation puts the energy above the lowest structure with this stoichiometry at 30 meV/atom. The density of states at the Fermi level comes out at 3.84 states/eV/f.u. The total moment is 0.00 μB/atom. For the total energy, the calculation gives -100.7 eV per cell. For the formation energy without anion corrections, the calculation gives 0.67 eV per atom.

The structure belongs to space group R-3m (No. 166, hexagonal axes); the cell edges are 3.1096, 3.1096 and 25.6937 Å and the angles 90.00°, 90.00° and 120.00°. Symmetry generates all atoms from Re at (0.0000, 0.0000, 0.0000), Sb at (0.0000, 0.0000, 0.2523) and W at (0.0000, 0.0000, 0.5000).


[12]
DFT (GGA-PBEsol) results for a relaxed Re2SbW crystal.

The density of states at the Fermi level comes out at 2.42 states/eV/f.u. The total moment is 0.00 μB/atom. For the total energy, the calculation gives -43.4 eV per cell. For the formation energy without anion corrections, the calculation gives 0.41 eV per atom.

The structure belongs to space group P4mm (No. 99); the cell edges are 3.012, 3.012 and 7.126 Å and the angles 90.00°, 90.00° and 90.00°. Symmetry generates all atoms from Re at (0.000, 0.000, 0.000), Re at (0.500, 0.500, 0.229), Sb at (0.000, 0.000, 0.491) and W at (0.500, 0.500, 0.760).


[13]
DFT (GGA-PBEsol) results for a relaxed Re2SbW crystal.

The density of states at the Fermi level comes out at 2.58 states/eV/f.u. The total moment is 0.00 μB/atom. For the total energy, the calculation gives -85.8 eV per cell. For the formation energy without anion corrections, the calculation gives 0.53 eV per atom.

The structure belongs to space group Immm (No. 71); the cell edges are 3.119, 4.523 and 9.020 Å and the angles 90.00°, 90.00° and 90.00°. Symmetry generates all atoms from Re at (0.000, 0.000, 0.240), Sb at (0.000, 0.500, 0.500) and W at (0.000, 0.500, 0.000).


[14]
DFT (GGA-PBEsol) results for a relaxed Re2SbW crystal.

The density of states at the Fermi level comes out at 3.46 states/eV/f.u. The total moment is 0.00 μB/atom. For the total energy, the calculation gives -85.9 eV per cell. For the formation energy without anion corrections, the calculation gives 0.51 eV per atom.

The structure belongs to space group C2/m (No. 12); the cell edges are 9.230, 3.003 and 4.815 Å and the angles 90.00°, 101.14° and 90.00°. Symmetry generates all atoms from Re at (0.236, 0.000, 0.220), Sb at (0.000, 0.000, 0.500) and W at (0.000, 0.500, 0.000).


[15]
DFT (GGA-PBEsol) results for a relaxed ReSbW2 crystal.

The density of states at the Fermi level comes out at 2.61 states/eV/f.u. The total moment is 0.00 μB/atom. For the total energy, the calculation gives -43.6 eV per cell. For the formation energy without anion corrections, the calculation gives 0.47 eV per atom.

The structure belongs to space group Pmmm (No. 47); the cell edges are 2.937, 4.180 and 5.342 Å and the angles 90.00°, 90.00° and 90.00°. Symmetry generates all atoms from Re at (0.000, 0.000, 0.000), Sb at (0.000, 0.000, 0.500) and W at (0.500, 0.500, 0.238).